DFT (PBE with a Hubbard U) results for Bi2WO6 after structural relaxation.

Properties
* ΔE to the lowest computed polymorph: 0.00 eV/f.u.
* DOS at the Fermi energy: 0.00 states/eV per cell
* magnetic moment: 0.00 μB/atom
* total energy: -6.61 eV per atom

CIF file:
```
data_Bi2WO6
_cell_length_a 5.497
_cell_length_b 17.116
_cell_length_c 5.539
_cell_angle_alpha 90.00
_cell_angle_beta 90.00
_cell_angle_gamma 90.00
_symmetry_space_group_name_H-M 'A e a 2'
_symmetry_Int_Tables_number 41
loop_
_symmetry_equiv_pos_as_xyz
'x,y,z'
'-x,-y,z'
'-x+1/2,y+1/2,z'
'x+1/2,-y+1/2,z'
'x,y+1/2,z+1/2'
'-x,-y+1/2,z+1/2'
'-x+1/2,y,z+1/2'
'x+1/2,-y,z+1/2'
loop_
_atom_site_label
_atom_site_fract_x
_atom_site_fract_y
_atom_site_fract_z
_atom_site_occupancy
Bi1 0.025 0.175 0.000 1
W1 0.000 0.000 0.559 1
O1 0.086 0.107 0.610 1
O2 0.238 0.250 0.277 1
O3 0.247 0.478 0.837 1
```